# CaYSe2N PBE-GGA relaxed
data_CaYSe2N
_cell_length_a 5.384
_cell_length_b 5.384
_cell_length_c 4.315
_cell_angle_alpha 90.00
_cell_angle_beta 90.00
_cell_angle_gamma 90.00
_space_group_name_H-M_alt 'P 4/m m m'
_space_group_IT_number 123
_space_group_name_Hall '-P 4 2'
loop_
_atom_site_label
_atom_site_type_symbol
_atom_site_fract_x
_atom_site_fract_y
_atom_site_fract_z
Ca1 Ca 0.000 0.000 0.000
Y1 Y 0.500 0.500 0.500
Se1 Se 0.000 0.500 0.000
N1 N 0.000 0.000 0.500
# distance to the lowest polymorph of the same formula: 490 meV/atom

---

# Al5C2N6F17 PBE-GGA relaxed
data_Al5C2N6F17
_cell_length_a 9.643
_cell_length_b 21.010
_cell_length_c 3.657
_cell_angle_alpha 90.00
_cell_angle_beta 90.00
_cell_angle_gamma 90.00
_space_group_name_H-M_alt 'C m m m'
_space_group_IT_number 65
_space_group_name_Hall '-C 2 2'
loop_
_atom_site_label
_atom_site_type_symbol
_atom_site_fract_x
_atom_site_fract_y
_atom_site_fract_z
Al1 Al 0.000 0.000 0.000
Al2 Al 0.185 0.415 0.000
C1 C 0.000 0.237 0.500
N1 N 0.000 0.174 0.500
N2 N 0.124 0.267 0.500
F1 F 0.000 0.000 0.500
F2 F 0.000 0.394 0.000
F3 F 0.132 0.062 0.000
F4 F 0.141 0.500 0.000
F5 F 0.183 0.417 0.500
F6 F 0.233 0.333 0.000
# electronic total energy: -342.47 eV for the cell shown

---

# AsOsRh PBE-GGA relaxed
data_AsOsRh
_cell_length_a 5.766
_cell_length_b 5.766
_cell_length_c 5.766
_cell_angle_alpha 90.00
_cell_angle_beta 90.00
_cell_angle_gamma 90.00
_space_group_name_H-M_alt 'F -4 3 m'
_space_group_IT_number 216
_space_group_name_Hall 'F -4 2 3'
loop_
_atom_site_label
_atom_site_type_symbol
_atom_site_fract_x
_atom_site_fract_y
_atom_site_fract_z
As1 As 0.000 0.000 0.000
Os1 Os 0.250 0.250 0.750
Rh1 Rh 0.250 0.250 0.250
# calculated formation energy: 0.41 eV per formula unit
# distance to the lowest polymorph of the same formula: 0 meV/atom

---

# BaMgNb3 PBE-GGA relaxed
data_BaMgNb3
_cell_length_a 5.093
_cell_length_b 5.093
_cell_length_c 5.093
_cell_angle_alpha 90.00
_cell_angle_beta 90.00
_cell_angle_gamma 90.00
_space_group_name_H-M_alt 'P m -3 m'
_space_group_IT_number 221
_space_group_name_Hall '-P 4 2 3'
loop_
_atom_site_label
_atom_site_type_symbol
_atom_site_fract_x
_atom_site_fract_y
_atom_site_fract_z
Ba1 Ba 0.000 0.000 0.000
Mg1 Mg 0.500 0.500 0.500
Nb1 Nb 0.000 0.000 0.500
# calculated formation energy: 11.39 eV per formula unit
# distance to the lowest polymorph of the same formula: 584 meV/atom

---

# LiTl2Sb2Pb PBE-GGA relaxed
data_LiTl2Sb2Pb
_cell_length_a 6.785
_cell_length_b 15.784
_cell_length_c 6.900
_cell_angle_alpha 90.00
_cell_angle_beta 90.00
_cell_angle_gamma 90.00
_space_group_name_H-M_alt 'I b a m'
_space_group_IT_number 72
_space_group_name_Hall '-I 2 2c'
loop_
_atom_site_label
_atom_site_type_symbol
_atom_site_fract_x
_atom_site_fract_y
_atom_site_fract_z
Li1 Li 0.000 0.000 0.250
Tl1 Tl 0.246 0.324 0.000
Sb1 Sb 0.228 0.118 0.000
Pb1 Pb 0.000 0.500 0.250
# electronic total energy: -77.13 eV for the cell shown

---

# ScPaNi2P2 PBE-GGA relaxed
data_ScPaNi2P2
_cell_length_a 3.8524
_cell_length_b 3.8524
_cell_length_c 7.4383
_cell_angle_alpha 90.00
_cell_angle_beta 90.00
_cell_angle_gamma 120.00
_space_group_name_H-M_alt 'P -3 m 1'
_space_group_IT_number 164
_space_group_name_Hall '-P 3 2"'
loop_
_atom_site_label
_atom_site_type_symbol
_atom_site_fract_x
_atom_site_fract_y
_atom_site_fract_z
Sc1 Sc 0.0000 0.0000 0.0000
Pa1 Pa 0.0000 0.0000 0.5000
Ni1 Ni 0.3333 0.6667 0.2568
P1 P 0.3333 0.6667 0.7673
# calculated formation energy: -6.74 eV per formula unit

---

# Ac2AgPd PBE-GGA relaxed
data_Ac2AgPd
_cell_length_a 3.876
_cell_length_b 3.876
_cell_length_c 7.803
_cell_angle_alpha 90.00
_cell_angle_beta 90.00
_cell_angle_gamma 90.00
_space_group_name_H-M_alt 'P 4/m m m'
_space_group_IT_number 123
_space_group_name_Hall '-P 4 2'
loop_
_atom_site_label
_atom_site_type_symbol
_atom_site_fract_x
_atom_site_fract_y
_atom_site_fract_z
Ac1 Ac 0.000 0.000 0.237
Ag1 Ag 0.500 0.500 0.500
Pd1 Pd 0.500 0.500 0.000
# calculated formation energy: -1.92 eV per formula unit

---

# Re2PCl PBE-GGA relaxed
data_Re2PCl
_cell_length_a 2.805
_cell_length_b 5.394
_cell_length_c 8.264
_cell_angle_alpha 90.00
_cell_angle_beta 90.00
_cell_angle_gamma 90.00
_space_group_name_H-M_alt 'I m m m'
_space_group_IT_number 71
_space_group_name_Hall '-I 2 2'
loop_
_atom_site_label
_atom_site_type_symbol
_atom_site_fract_x
_atom_site_fract_y
_atom_site_fract_z
Re1 Re 0.000 0.000 0.230
P1 P 0.000 0.500 0.500
Cl1 Cl 0.000 0.500 0.000
# distance to the lowest polymorph of the same formula: 778 meV/atom